[1]
A plane-wave DFT calculation with PBE was carried out for a geometry-optimized TbY6In3 structure.

abc: 7.637 9.347 9.347
angles: 110.42 90.00 90.00
Fractional coordinates of all 20 atoms:
1 Y 0.606 0.695 0.762
2 Y 0.791 0.924 0.545
3 Y 0.791 0.455 0.076
4 Y 0.606 0.238 0.305
5 Y 0.106 0.305 0.238
6 Y 0.291 0.076 0.455
7 Y 0.289 0.954 0.046
8 Y 0.633 0.297 0.703
9 Y 0.291 0.545 0.924
10 Y 0.106 0.762 0.695
11 Y 0.789 0.046 0.954
12 Y 0.133 0.703 0.297
13 In 0.932 0.013 0.276
14 In 0.932 0.724 0.987
15 In 0.820 0.558 0.442
16 In 0.432 0.987 0.724
17 In 0.320 0.442 0.558
18 In 0.432 0.276 0.013
19 Tb 0.583 0.796 0.204
20 Tb 0.083 0.204 0.796

Output
* energy relative to the elements: -0.1583 eV/atom
* size of the total moment: 0.003 μB/f.u.
* space group: Cmc2_1


[2]
A plane-wave DFT calculation with PBE was carried out for a geometry-optimized TbY2In structure.

abc: 5.468 5.468 5.468
angles: 60.00 60.00 60.00
Fractional coordinates of all 4 atoms:
1 Y 0.750 0.750 0.750
2 Y 0.250 0.250 0.250
3 Tb 0.500 0.500 0.500
4 In 0.000 0.000 0.000

Output
* energy relative to the elements: -0.1365 eV/atom
* size of the total moment: 1.446 μB/f.u.
* space group: Fm-3m


[3]
A plane-wave DFT calculation with PBE was carried out for a geometry-optimized Tb2Y3In4 structure.

abc: 7.097 9.430 8.700
angles: 90.00 114.07 90.00
Fractional coordinates of all 18 atoms:
1 In 0.808 0.033 0.616
2 In 0.192 0.967 0.384
3 In 0.768 0.250 0.035
4 In 0.232 0.750 0.965
5 In 0.268 0.250 0.035
6 In 0.692 0.533 0.384
7 In 0.308 0.467 0.616
8 In 0.732 0.750 0.965
9 Y 0.000 0.000 0.000
10 Y 0.963 0.250 0.427
11 Y 0.037 0.750 0.573
12 Y 0.463 0.250 0.427
13 Y 0.537 0.750 0.573
14 Y 0.500 0.500 0.000
15 Tb 0.891 0.440 0.781
16 Tb 0.609 0.940 0.219
17 Tb 0.391 0.060 0.781
18 Tb 0.109 0.560 0.219

Output
* energy relative to the elements: -0.2762 eV/atom
* size of the total moment: 0.000 μB/f.u.
* space group: Cmce


[4]
A plane-wave DFT calculation with PBE was carried out for a geometry-optimized TbY2In structure.

abc: 4.840 4.874 4.874
angles: 90.00 90.00 90.00
Fractional coordinates of all 4 atoms:
1 Y 0.000 0.000 0.500
2 Y 0.000 0.500 0.000
3 In 0.500 0.000 0.000
4 Tb 0.500 0.500 0.500

Output
* energy relative to the elements: -0.2747 eV/atom
* size of the total moment: 0.755 μB/f.u.
* space group: P4/mmm


[5]
A plane-wave DFT calculation with PBE was carried out for a geometry-optimized TbY8In2 structure.

abc: 5.679 8.767 8.767
angles: 118.93 102.25 102.25
Fractional coordinates of all 11 atoms:
1 Y 0.120 0.324 0.093
2 Y 0.704 0.403 0.403
3 Y 0.880 0.907 0.676
4 Y 0.500 0.218 0.782
5 Y 0.120 0.093 0.324
6 Y 0.500 0.782 0.218
7 Y 0.296 0.597 0.597
8 Y 0.880 0.676 0.907
9 Tb 0.500 0.000 0.000
10 In 0.000 0.694 0.306
11 In 0.000 0.306 0.694

Output
* energy relative to the elements: -0.0566 eV/atom
* size of the total moment: 0.001 μB/f.u.
* space group: C2/m


[6]
A plane-wave DFT calculation with PBE was carried out for a geometry-optimized TbY2In4 structure.

abc: 5.275 5.275 8.173
angles: 108.83 108.83 90.00
Fractional coordinates of all 7 atoms:
1 In 0.116 0.616 0.232
2 In 0.616 0.116 0.232
3 In 0.384 0.884 0.768
4 In 0.884 0.384 0.768
5 Tb 0.000 0.000 0.000
6 Y 0.748 0.748 0.496
7 Y 0.252 0.252 0.504

Output
* energy relative to the elements: -0.3294 eV/atom
* size of the total moment: 0.049 μB/f.u.
* space group: I4/mmm


[7]
A plane-wave DFT calculation with PBE was carried out for a geometry-optimized TbYZnIn structure.

abc: 5.215 5.215 5.215
angles: 60.00 60.00 60.00
Fractional coordinates of all 4 atoms:
1 Zn 0.000 0.000 0.000
2 In 0.500 0.500 0.500
3 Tb 0.250 0.250 0.250
4 Y 0.750 0.750 0.750

Output
* energy relative to the elements: -0.4144 eV/atom
* size of the total moment: 0.000 μB/f.u.
* space group: F-43m


[8]
A plane-wave DFT calculation with PBE was carried out for a geometry-optimized TbYZrIn structure.

abc: 5.354 5.354 5.354
angles: 60.00 60.00 60.00
Fractional coordinates of all 4 atoms:
1 Y 0.250 0.250 0.250
2 Zr 0.500 0.500 0.500
3 In 0.000 0.000 0.000
4 Tb 0.750 0.750 0.750

Output
* energy relative to the elements: -0.0836 eV/atom
* size of the total moment: 2.659 μB/f.u.
* space group: F-43m


[9]
A plane-wave DFT calculation with PBE was carried out for a geometry-optimized Tb2Zn16In structure.

abc: 6.850 6.850 6.850
angles: 83.09 83.09 83.09
Fractional coordinates of all 19 atoms:
1 Zn 0.696 0.000 0.305
2 Zn 0.171 0.645 0.645
3 Zn 0.006 0.489 0.006
4 Zn 0.489 0.006 0.006
5 Zn 0.835 0.350 0.350
6 Zn 0.305 0.696 0.000
7 Zn 0.696 0.305 0.000
8 Zn 0.006 0.006 0.489
9 Zn 0.645 0.171 0.645
10 Zn 0.305 0.000 0.696
11 Zn 0.350 0.350 0.835
12 Zn 0.350 0.835 0.350
13 Zn 0.106 0.106 0.106
14 Zn 0.645 0.645 0.171
15 Zn 0.000 0.305 0.696
16 Zn 0.000 0.696 0.305
17 Tb 0.336 0.336 0.336
18 Tb 0.660 0.660 0.660
19 In 0.901 0.901 0.901

Output
* energy relative to the elements: -0.2191 eV/atom
* size of the total moment: 0.000 μB/f.u.
* space group: R3m


[10]
A plane-wave DFT calculation with PBE was carried out for a geometry-optimized Tb4ZnIn2 structure.

abc: 5.220 5.220 9.004
angles: 73.15 73.15 60.00
Fractional coordinates of all 7 atoms:
1 Tb 0.624 0.624 0.129
2 Tb 0.875 0.875 0.376
3 Tb 0.125 0.125 0.624
4 Tb 0.376 0.376 0.871
5 In 0.250 0.250 0.250
6 In 0.750 0.750 0.750
7 Zn 0.000 0.000 0.000

Output
* energy relative to the elements: -0.2824 eV/atom
* size of the total moment: 0.000 μB/f.u.
* space group: R-3m


[11]
A plane-wave DFT calculation with PBE was carried out for a geometry-optimized Tb8Zn2In structure.

abc: 5.198 8.320 8.500
angles: 117.36 107.80 90.00
Fractional coordinates of all 11 atoms:
1 Zn 0.219 0.618 0.439
2 Zn 0.781 0.382 0.561
3 Tb 0.315 0.037 0.629
4 Tb 0.396 0.537 0.793
5 Tb 0.685 0.963 0.371
6 Tb 0.934 0.276 0.869
7 Tb 0.066 0.724 0.131
8 Tb 0.148 0.209 0.297
9 Tb 0.852 0.791 0.703
10 Tb 0.604 0.463 0.207
11 In 0.500 0.000 0.000

Output
* energy relative to the elements: -0.2025 eV/atom
* size of the total moment: 0.000 μB/f.u.
* space group: C2/m


[12]
A plane-wave DFT calculation with PBE was carried out for a geometry-optimized Tb3Zn4In2 structure.

abc: 4.635 5.846 8.815
angles: 112.23 90.00 113.36
Fractional coordinates of all 9 atoms:
1 Zn 0.715 0.431 0.038
2 Zn 0.285 0.569 0.962
3 Zn 0.071 0.143 0.414
4 Zn 0.929 0.857 0.586
5 Tb 0.000 0.000 0.000
6 Tb 0.664 0.327 0.674
7 Tb 0.336 0.673 0.326
8 In 0.615 0.231 0.280
9 In 0.385 0.769 0.720

Output
* energy relative to the elements: -0.4189 eV/atom
* size of the total moment: 0.000 μB/f.u.
* space group: C2/m


[13]
A plane-wave DFT calculation with PBE was carried out for a geometry-optimized Tb6ZnIn2 structure.

abc: 5.118 7.271 8.861
angles: 114.22 106.80 90.00
Fractional coordinates of all 9 atoms:
1 Tb 0.500 0.235 0.000
2 Tb 0.161 0.918 0.323
3 Tb 0.500 0.765 0.000
4 Tb 0.839 0.596 0.677
5 Tb 0.161 0.404 0.323
6 Tb 0.839 0.082 0.677
7 In 0.666 0.666 0.332
8 In 0.334 0.334 0.668
9 Zn 0.000 0.000 0.000

Output
* energy relative to the elements: -0.0445 eV/atom
* size of the total moment: 0.000 μB/f.u.
* space group: Immm


[14]
A plane-wave DFT calculation with PBE was carried out for a geometry-optimized TbZn4In structure.

abc: 5.456 5.456 5.456
angles: 60.00 60.00 60.00
Fractional coordinates of all 6 atoms:
1 Zn 0.624 0.624 0.127
2 Zn 0.624 0.624 0.624
3 Zn 0.127 0.624 0.624
4 Zn 0.624 0.127 0.624
5 In 0.000 0.000 0.000
6 Tb 0.250 0.250 0.250

Output
* energy relative to the elements: -0.1464 eV/atom
* size of the total moment: 0.000 μB/f.u.
* space group: F-43m


[15]
A plane-wave DFT calculation with PBE was carried out for a geometry-optimized TbZnIn6 structure.

abc: 4.291 6.797 6.797
angles: 89.87 90.00 90.00
Fractional coordinates of all 8 atoms:
1 In 0.000 0.735 0.735
2 In 0.000 0.265 0.735
3 In 0.000 0.735 0.265
4 In 0.500 0.000 0.500
5 In 0.500 0.500 0.000
6 In 0.000 0.265 0.265
7 Zn 0.500 0.500 0.500
8 Tb 0.500 0.000 0.000

Output
* energy relative to the elements: -0.1272 eV/atom
* size of the total moment: 0.000 μB/f.u.
* space group: Cmmm


[16]
A plane-wave DFT calculation with PBE was carried out for a geometry-optimized Tb2ZnIn3 structure.

abc: 3.638 4.791 8.383
angles: 90.00 90.00 90.00
Fractional coordinates of all 6 atoms:
1 Tb 0.000 0.000 0.495
2 Tb 0.000 0.500 0.008
3 Zn 0.500 0.500 0.330
4 In 0.500 0.000 0.837
5 In 0.500 0.000 0.180
6 In 0.500 0.500 0.651

Output
* energy relative to the elements: -0.4194 eV/atom
* size of the total moment: 0.000 μB/f.u.
* space group: Pmm2


[17]
A plane-wave DFT calculation with PBE was carried out for a geometry-optimized Tb2Zn3In structure.

abc: 3.693 4.578 8.504
angles: 105.61 102.54 90.00
Fractional coordinates of all 6 atoms:
1 Tb 0.138 0.138 0.275
2 Tb 0.862 0.362 0.724
3 Zn 0.296 0.796 0.592
4 Zn 0.698 0.698 0.397
5 Zn 0.545 0.545 0.089
6 In 0.462 0.962 0.923

Output
* energy relative to the elements: -0.3200 eV/atom
* size of the total moment: 0.000 μB/f.u.
* space group: Imm2


[18]
A plane-wave DFT calculation with PBE was carried out for a geometry-optimized Tb7Zn4In structure.

abc: 5.703 8.672 7.560
angles: 67.06 67.84 70.80
Fractional coordinates of all 12 atoms:
1 Zn 0.517 0.326 0.639
2 Zn 0.483 0.674 0.361
3 Zn 0.313 0.337 0.037
4 Zn 0.687 0.663 0.963
5 Tb 0.187 0.123 0.504
6 Tb 0.725 0.315 0.235
7 Tb 0.813 0.877 0.496
8 Tb 0.500 0.000 0.000
9 Tb 0.076 0.593 0.256
10 Tb 0.275 0.685 0.765
11 Tb 0.924 0.407 0.744
12 In 0.000 0.000 0.000

Output
* energy relative to the elements: -0.1191 eV/atom
* size of the total moment: 0.000 μB/f.u.
* space group: C2/m


[19]
A plane-wave DFT calculation with PBE was carried out for a geometry-optimized Tb3ZnIn2 structure.

abc: 3.649 3.649 11.520
angles: 90.00 90.00 90.00
Fractional coordinates of all 6 atoms:
1 Tb 0.000 0.000 0.351
2 Tb 0.000 0.000 0.649
3 Tb 0.000 0.000 0.000
4 In 0.500 0.500 0.823
5 In 0.500 0.500 0.177
6 Zn 0.500 0.500 0.500

Output
* energy relative to the elements: -0.4432 eV/atom
* size of the total moment: 0.000 μB/f.u.
* space group: P4/mmm


[20]
A plane-wave DFT calculation with PBE was carried out for a geometry-optimized Tb5ZnIn2 structure.

abc: 6.939 6.939 6.644
angles: 121.48 121.48 89.99
Fractional coordinates of all 8 atoms:
1 Zn 0.222 0.222 0.445
2 In 0.722 0.222 0.444
3 In 0.222 0.722 0.444
4 Tb 0.722 0.722 0.944
5 Tb 0.722 0.722 0.444
6 Tb 0.222 0.222 0.944
7 Tb 0.222 0.722 0.944
8 Tb 0.722 0.222 0.944

Output
* energy relative to the elements: -0.2640 eV/atom
* size of the total moment: 0.000 μB/f.u.
* space group: I4/mmm